# 1
Entry from Alexandria: an optimized crystal structure of CeSm4Tl7 (PBE-GGA).

a = 7.3061 Å, b = 7.3061 Å, c = 11.7662 Å
α = 120.70°, β = 120.70°, γ = 46.90°
Last column: nearest neighbours and their distance in Å.
Element x y z (fractional)
Ce 0.0000 0.0000 0.0000  2 Tl 2.91
Sm 0.2740 0.2740 0.6683  8 Tl 3.21-3.47
Sm 0.4127 0.4127 0.2179  8 Tl 3.17-3.46
Sm 0.5873 0.5873 0.7821  8 Tl 3.17-3.46
Sm 0.7260 0.7260 0.3317  8 Tl 3.21-3.47
Tl 0.0804 0.0804 0.3225  2 Tl 3.24-3.32, 1 Ce 3.32, 5 Sm 3.40-3.47
Tl 0.2156 0.2156 0.8988  4 Sm 3.17-3.27, 4 Tl 3.30-3.54
Tl 0.3671 0.3671 0.4599  2 Tl 3.14-3.24, 5 Sm 3.23-3.34
Tl 0.5000 0.5000 0.0000  2 Ce 2.91
Tl 0.6329 0.6329 0.5401  2 Tl 3.14-3.24, 5 Sm 3.23-3.34
Tl 0.7844 0.7844 0.1012  4 Sm 3.17-3.27, 4 Tl 3.30-3.54
Tl 0.9196 0.9196 0.6775  2 Tl 3.24-3.32, 1 Ce 3.32, 5 Sm 3.40-3.47

Properties
- Magnetic moment: 1.10 μB per formula unit
- E_tot: -42.8 eV/cell

---

# 2
Entry from Alexandria: an optimized crystal structure of CeSm5Tl3 (PBE-GGA).

a = 9.5673 Å, b = 9.5673 Å, c = 6.8119 Å
α = 90.00°, β = 90.00°, γ = 120.00°
Last column: nearest neighbours and their distance in Å.
Element x y z (fractional)
Ce 0.0000 0.0000 0.0000  2 Ce 3.41, 6 Sm 3.56, 6 Tl 3.67
Ce 0.0000 0.0000 0.5000  2 Ce 3.41, 6 Sm 3.56, 6 Tl 3.67
Sm 0.0000 0.3264 0.2500  5 Tl 3.19-3.41, 2 Ce 3.56
Sm 0.0000 0.6736 0.7500  5 Tl 3.19-3.41, 2 Ce 3.56
Sm 0.3264 0.0000 0.2500  5 Tl 3.19-3.41, 2 Ce 3.56
Sm 0.3264 0.3264 0.7500  5 Tl 3.19-3.41, 2 Ce 3.56
Sm 0.3333 0.6667 0.0000  8 Sm 3.41-3.64, 6 Tl 3.59
Sm 0.3333 0.6667 0.5000  8 Sm 3.41-3.64, 6 Tl 3.59
Sm 0.6667 0.3333 0.0000  8 Sm 3.41-3.64, 6 Tl 3.59
Sm 0.6667 0.3333 0.5000  8 Sm 3.41-3.64, 6 Tl 3.59
Sm 0.6736 0.0000 0.7500  5 Tl 3.19-3.41, 2 Ce 3.56
Sm 0.6736 0.6736 0.2500  5 Tl 3.19-3.41, 2 Ce 3.56
Tl 0.0000 0.3393 0.7500  5 Sm 3.19-3.41
Tl 0.0000 0.6607 0.2500  5 Sm 3.19-3.41
Tl 0.3393 0.0000 0.7500  5 Sm 3.19-3.41
Tl 0.3393 0.3393 0.2500  5 Sm 3.19-3.41
Tl 0.6607 0.0000 0.2500  5 Sm 3.19-3.41
Tl 0.6607 0.6607 0.7500  5 Sm 3.19-3.41

Properties
- Magnetic moment: 3.09 μB per formula unit
- E_tot: -77.8 eV/cell

---

# 3
Entry from Alexandria: an optimized crystal structure of Ce2SmTl (PBE-GGA).

a = 5.5399 Å, b = 5.5399 Å, c = 5.5399 Å
α = 60.00°, β = 60.00°, γ = 60.00°
Last column: nearest neighbours and their distance in Å.
Element x y z (fractional)
Ce 0.2500 0.2500 0.2500  4 Tl 3.39, 4 Sm 3.39
Ce 0.7500 0.7500 0.7500  4 Sm 3.39, 4 Tl 3.39
Sm 0.0000 0.0000 0.0000  8 Ce 3.39
Tl 0.5000 0.5000 0.5000  8 Ce 3.39

Properties
- Energy above the most stable polymorph in this dataset: 212 meV per atom
- Magnetic moment: 3.39 μB per formula unit
- E_tot: -18.8 eV/cell

---

# 4
Entry from Alexandria: an optimized crystal structure of CeSm8Tl6 (PBE-GGA).

a = 8.4953 Å, b = 8.4953 Å, c = 8.4953 Å
α = 66.41°, β = 66.41°, γ = 66.41°
Last column: nearest neighbours and their distance in Å.
Element x y z (fractional)
Ce 0.0000 0.0000 0.0000  6 Tl 3.37, 6 Sm 3.75
Sm 0.1129 0.4373 0.7821  5 Tl 3.20-3.39
Sm 0.2179 0.8871 0.5627  5 Tl 3.20-3.39
Sm 0.3320 0.3320 0.3320  6 Tl 3.29-3.31
Sm 0.4373 0.7821 0.1129  5 Tl 3.20-3.39
Sm 0.5627 0.2179 0.8871  5 Tl 3.20-3.39
Sm 0.6680 0.6680 0.6680  6 Tl 3.29-3.31
Sm 0.7821 0.1129 0.4373  5 Tl 3.20-3.39
Sm 0.8871 0.5627 0.2179  5 Tl 3.20-3.39
Tl 0.0605 0.7226 0.3987  7 Sm 3.20-3.39, 1 Ce 3.37
Tl 0.2774 0.6013 0.9395  7 Sm 3.20-3.39, 1 Ce 3.37
Tl 0.3987 0.0605 0.7226  7 Sm 3.20-3.39, 1 Ce 3.37
Tl 0.6013 0.9395 0.2774  7 Sm 3.20-3.39, 1 Ce 3.37
Tl 0.7226 0.3987 0.0605  7 Sm 3.20-3.39, 1 Ce 3.37
Tl 0.9395 0.2774 0.6013  7 Sm 3.20-3.39, 1 Ce 3.37

Properties
- Magnetic moment: 1.90 μB per formula unit
- E_tot: -59.9 eV/cell

---

# 5
Entry from Alexandria: an optimized crystal structure of Ce2Sm3Tl6 (PBE-GGA).

a = 15.2661 Å, b = 15.2661 Å, c = 15.2661 Å
α = 162.18°, β = 162.18°, γ = 25.31°
Last column: nearest neighbours and their distance in Å.
Element x y z (fractional)
Ce 0.0430 0.0430 0.0000  1 Ce 2.56
Ce 0.9570 0.9570 0.0000  1 Ce 2.56
Sm 0.2984 0.2984 0.0000  9 Tl 3.13-3.48
Sm 0.5000 0.5000 0.0000  8 Ce 3.58
Sm 0.7016 0.7016 0.0000  9 Tl 3.13-3.48
Tl 0.1160 0.6160 0.5000  2 Ce 3.21, 6 Tl 3.30-3.34, 2 Sm 3.48
Tl 0.1932 0.1932 0.0000  5 Sm 3.13-3.35, 4 Tl 3.30
Tl 0.3840 0.8840 0.5000  2 Ce 3.21, 6 Tl 3.30-3.34, 2 Sm 3.48
Tl 0.6160 0.1160 0.5000  2 Ce 3.21, 6 Tl 3.30-3.34, 2 Sm 3.48
Tl 0.8068 0.8068 0.0000  5 Sm 3.13-3.35, 4 Tl 3.30
Tl 0.8840 0.3840 0.5000  2 Ce 3.21, 6 Tl 3.30-3.34, 2 Sm 3.48

Properties
- Magnetic moment: 1.05 μB per formula unit
- E_tot: -41.0 eV/cell

---

# 6
Entry from Alexandria: an optimized crystal structure of Ce2SmTl (PBE-GGA).

a = 4.6333 Å, b = 4.3426 Å, c = 11.6216 Å
α = 90.00°, β = 99.19°, γ = 90.00°
Last column: nearest neighbours and their distance in Å.
Element x y z (fractional)
Ce 0.9997 0.2500 0.1101  2 Ce 2.82
Ce 0.0003 0.7500 0.8899  2 Ce 2.82
Ce 0.3856 0.2500 0.8851  2 Ce 2.82
Ce 0.6144 0.7500 0.1149  2 Ce 2.82
Sm 0.3000 0.7500 0.6075  5 Tl 3.22-3.29
Sm 0.7000 0.2500 0.3925  5 Tl 3.22-3.29
Tl 0.1820 0.7500 0.3266  5 Sm 3.22-3.29, 4 Ce 3.30-3.41
Tl 0.8180 0.2500 0.6734  5 Sm 3.22-3.29, 4 Ce 3.30-3.41

Properties
- Energy above the most stable polymorph in this dataset: 0 meV per atom
- Magnetic moment: 0.00 μB per formula unit
- E_tot: -39.2 eV/cell

---

# 7
Entry from Alexandria: an optimized crystal structure of Ce2Sm2Tl3 (PBE-GGA).

a = 12.6632 Å, b = 12.6632 Å, c = 3.5588 Å
α = 90.00°, β = 90.00°, γ = 159.88°
Last column: nearest neighbours and their distance in Å.
Element x y z (fractional)
Ce 0.2154 0.7846 0.0000  2 Ce 2.81
Ce 0.7846 0.2154 0.0000  2 Ce 2.81
Sm 0.0733 0.9267 0.0000  8 Tl 3.36-3.38, 1 Ce 3.54, 3 Sm 3.56-3.66
Sm 0.9267 0.0733 0.0000  8 Tl 3.36-3.38, 1 Ce 3.54, 3 Sm 3.56-3.66
Tl 0.3546 0.6454 0.5000  4 Ce 3.33, 4 Sm 3.36, 3 Tl 3.56-3.63
Tl 0.5000 0.5000 0.5000  8 Sm 3.38, 4 Tl 3.56-3.63
Tl 0.6454 0.3546 0.5000  4 Ce 3.33, 4 Sm 3.36, 3 Tl 3.56-3.63

Properties
- Energy above the most stable polymorph in this dataset: 0 meV per atom
- Magnetic moment: 1.58 μB per formula unit
- E_tot: -30.1 eV/cell

---

# 8
Entry from Alexandria: an optimized crystal structure of CeSmTl2 (PBE-GGA).

a = 5.0577 Å, b = 5.0577 Å, c = 4.5193 Å
α = 90.00°, β = 90.00°, γ = 90.00°
Last column: nearest neighbours and their distance in Å.
Element x y z (fractional)
Ce 0.0000 0.0000 0.0000  8 Tl 3.39, 4 Sm 3.58
Sm 0.5000 0.5000 0.0000  8 Tl 3.39, 4 Ce 3.58
Tl 0.0000 0.5000 0.5000  4 Ce 3.39, 4 Sm 3.39, 4 Tl 3.58
Tl 0.5000 0.0000 0.5000  4 Ce 3.39, 4 Sm 3.39, 4 Tl 3.58

Properties
- Energy above the most stable polymorph in this dataset: 16 meV per atom
- Magnetic moment: 1.67 μB per formula unit
- E_tot: -16.5 eV/cell

---

# 9
Entry from Alexandria: an optimized crystal structure of Ce4SmTl3 (PBE-GGA).

a = 8.1705 Å, b = 8.1705 Å, c = 5.8705 Å
α = 103.77°, β = 103.77°, γ = 36.18°
Last column: nearest neighbours and their distance in Å.
Element x y z (fractional)
Ce 0.1531 0.1531 0.0673  3 Ce 2.83-2.95
Ce 0.2609 0.2609 0.7432  3 Ce 2.83-2.95
Ce 0.7391 0.7391 0.2568  3 Ce 2.83-2.95
Ce 0.8469 0.8469 0.9327  3 Ce 2.83-2.95
Sm 0.0000 0.0000 0.5000  4 Tl 3.22, 2 Ce 3.57
Tl 0.3713 0.3713 0.3461  1 Tl 3.19, 2 Sm 3.22, 7 Ce 3.22-3.53
Tl 0.5000 0.5000 0.0000  2 Tl 3.19, 4 Ce 3.43
Tl 0.6287 0.6287 0.6539  1 Tl 3.19, 2 Sm 3.22, 7 Ce 3.22-3.53

Properties
- Magnetic moment: 2.25 μB per formula unit
- E_tot: -36.4 eV/cell

---

# 10
Entry from Alexandria: an optimized crystal structure of CeSm6Tl (PBE-GGA).

a = 4.9593 Å, b = 4.9593 Å, c = 10.2624 Å
α = 90.00°, β = 90.00°, γ = 90.00°
Last column: nearest neighbours and their distance in Å.
Element x y z (fractional)
Ce 0.0000 0.0000 0.0000  12 Sm 3.51-3.60
Sm 0.0000 0.5000 0.2538  8 Sm 3.51-3.60, 2 Tl 3.54, 2 Ce 3.60
Sm 0.0000 0.5000 0.7462  8 Sm 3.51-3.60, 2 Tl 3.54, 2 Ce 3.60
Sm 0.5000 0.0000 0.2538  8 Sm 3.51-3.60, 2 Tl 3.54, 2 Ce 3.60
Sm 0.5000 0.0000 0.7462  8 Sm 3.51-3.60, 2 Tl 3.54, 2 Ce 3.60
Sm 0.5000 0.5000 0.0000  4 Ce 3.51, 8 Sm 3.60
Sm 0.5000 0.5000 0.5000  4 Tl 3.51, 8 Sm 3.54
Tl 0.0000 0.0000 0.5000  12 Sm 3.51-3.54

Properties
- Magnetic moment: 1.16 μB per formula unit
- E_tot: -37.0 eV/cell

---

# 11
Entry from Alexandria: an optimized crystal structure of CeSm9Tl2 (PBE-GGA).

a = 4.9476 Å, b = 4.9476 Å, c = 15.2083 Å
α = 90.00°, β = 90.00°, γ = 90.00°
Last column: nearest neighbours and their distance in Å.
Element x y z (fractional)
Ce 0.0000 0.0000 0.0000  12 Sm 3.50-3.59
Sm 0.0000 0.5000 0.1707  8 Sm 3.50-3.59, 2 Tl 3.55, 2 Ce 3.59
Sm 0.0000 0.5000 0.5000  4 Tl 3.49, 8 Sm 3.50
Sm 0.0000 0.5000 0.8293  8 Sm 3.50-3.59, 2 Tl 3.55, 2 Ce 3.59
Sm 0.5000 0.0000 0.1707  8 Sm 3.50-3.59, 2 Tl 3.55, 2 Ce 3.59
Sm 0.5000 0.0000 0.5000  4 Tl 3.49, 8 Sm 3.50
Sm 0.5000 0.0000 0.8293  8 Sm 3.50-3.59, 2 Tl 3.55, 2 Ce 3.59
Sm 0.5000 0.5000 0.0000  4 Ce 3.50, 8 Sm 3.59
Sm 0.5000 0.5000 0.3373  4 Tl 3.50, 8 Sm 3.50-3.54
Sm 0.5000 0.5000 0.6627  4 Tl 3.50, 8 Sm 3.50-3.54
Tl 0.0000 0.0000 0.3379  12 Sm 3.49-3.55
Tl 0.0000 0.0000 0.6621  12 Sm 3.49-3.55

Properties
- Magnetic moment: 1.13 μB per formula unit
- E_tot: -54.3 eV/cell

---

# 12
Entry from Alexandria: an optimized crystal structure of CeSm8Tl2 (PBE-GGA).

a = 9.2826 Å, b = 9.2826 Å, c = 6.3746 Å
α = 103.08°, β = 103.08°, γ = 42.62°
Last column: nearest neighbours and their distance in Å.
Element x y z (fractional)
Ce 0.0000 0.0000 0.0000  10 Sm 3.48-3.75
Sm 0.1508 0.6519 0.5348  2 Tl 3.24-3.35, 5 Sm 3.37-3.60, 1 Ce 3.48
Sm 0.2193 0.2193 0.1589  4 Tl 3.21-3.50, 1 Sm 3.58
Sm 0.3481 0.8492 0.4652  2 Tl 3.24-3.35, 5 Sm 3.37-3.60, 1 Ce 3.48
Sm 0.4172 0.4172 0.0792  1 Tl 3.23, 4 Sm 3.26-3.58
Sm 0.5828 0.5828 0.9208  1 Tl 3.23, 4 Sm 3.26-3.58
Sm 0.6519 0.1508 0.5348  2 Tl 3.24-3.35, 5 Sm 3.37-3.60, 1 Ce 3.48
Sm 0.7807 0.7807 0.8411  4 Tl 3.21-3.50, 1 Sm 3.58
Sm 0.8492 0.3481 0.4652  2 Tl 3.24-3.35, 5 Sm 3.37-3.60, 1 Ce 3.48
Tl 0.2574 0.2574 0.6907  9 Sm 3.21-3.50
Tl 0.7426 0.7426 0.3093  9 Sm 3.21-3.50

Properties
- Magnetic moment: 1.25 μB per formula unit
- E_tot: -48.4 eV/cell

---

Which of these has the highest E_tot? CeSmTl2

---

magnetic moment of number 3 (Ce2SmTl)? 3.39 μB per formula unit

---

Which value of E_tot does entry 5 give? -41.0 eV/cell

---

E_tot of number 3 (Ce2SmTl)? -18.8 eV/cell